[1]
La2SeI: optimized geometry, PBE.

abc: 7.6717 7.6717 7.6717
angles: 90.00 90.00 90.00
Space group Fm-3m (No. 225)
Inequivalent atoms, fractional coordinates:
1 La 0.2500 0.2500 0.2500 (multiplicity 8)
2 Se 0.0000 0.0000 0.0000 (multiplicity 4)
3 I 0.0000 0.0000 0.5000 (multiplicity 4)

---

[2]
La2SeI: optimized geometry, PBE.

abc: 4.2973 4.2973 23.6196
angles: 90.00 90.00 120.00
Space group R-3m (No. 166, hexagonal axes)
Inequivalent atoms, fractional coordinates:
1 La 0.0000 0.0000 0.2359 (multiplicity 6)
2 Se 0.0000 0.0000 0.5000 (multiplicity 3)
3 I 0.0000 0.0000 0.0000 (multiplicity 3)

---

[3]
La2SeI: optimized geometry, PBE.

abc: 7.0487 7.0487 13.9723
angles: 90.00 90.00 90.00
Space group I-42d (No. 122)
Inequivalent atoms, fractional coordinates:
1 La 0.2122 0.2500 0.1250 (multiplicity 8)
2 Se 0.0000 0.0000 0.0000 (multiplicity 4)
3 I 0.0000 0.0000 0.5000 (multiplicity 4)

---

In the order shown, the computed uncorrected formation energy values come out to -5.293 -6.009 -3.960 eV/f.u..
In the order shown, the computed energy relative to the lowest polymorph listed for this composition values come out to 0.179 0.000 0.512 eV/atom.
In the order shown, the computed volume values come out to 28.22 31.48 43.39 Å³ per atom.